Entry 1:
LiCe2Pd after structural relaxation. Source: Alexandria via LeMat-Bulk, functional GGA-PBE.

The structure in POSCAR format:
```
LiCe2Pd
1.0
3.776 0.000 0.000
0.000 3.776 0.000
0.000 0.000 6.790
Pd Ce Li
1 2 1
Cartesian
1.888 1.888 0.000
0.000 0.000 5.331
0.000 0.000 1.459
1.888 1.888 3.395
```

Calculated values
DFT formation energy = -0.19 eV/atom
spin magnetization = 1.49 μB/f.u.
V = 96.79 Å³/cell
polymorph energy (0 for the lowest one) = 0.000 eV/f.u.

=====

Entry 2:
LiCePd14 after structural relaxation. Source: Alexandria via LeMat-Bulk, functional GGA-PBE.

The structure in POSCAR format:
```
LiCePd14
1.0
-0.059 3.179 -4.708
-2.083 -4.393 -2.939
-7.349 2.357 1.684
Li Ce Pd
1 1 14
Cartesian
-4.478 0.723 -2.025
-5.549 0.116 -5.849
-1.874 -1.062 -6.691
-0.803 -0.455 -2.868
-4.507 2.313 -4.379
-0.833 1.134 -5.222
-5.519 -1.473 -3.495
-1.845 -2.652 -4.337
-2.123 2.005 -2.888
-5.829 3.194 -2.039
-3.126 -1.747 -2.012
-6.832 -0.558 -1.163
-3.156 -0.172 -4.344
-6.861 1.017 -3.495
-2.094 0.430 -0.556
-5.800 1.619 0.293
```

Calculated values
DFT formation energy = -0.27 eV/atom
spin magnetization = 0.00 μB/f.u.
V = 254.92 Å³/cell